# 1
Below is a relaxed Ag4Pd2Au3 crystal, with properties calculated at the PBE level.

POSCAR file:
```
Ag4Pd2Au3
1.0
4.139 0.000 0.000
0.000 6.407 0.592
-2.069 -2.498 5.636
Pd Au Ag
2 3 4
direct
0.333 0.001 0.666 Pd
0.667 0.999 0.334 Pd
0.000 0.000 0.000 Au
0.886 0.328 0.773 Au
0.114 0.672 0.227 Au
0.222 0.329 0.445 Ag
0.778 0.671 0.555 Ag
0.445 0.669 0.890 Ag
0.555 0.331 0.110 Ag
```

Properties
Calculated volume = 155.6 Å³/cell
Calculated formation energy = -0.068 eV per atom



# 2
Below is a relaxed Ag3Pd2Au2 crystal, with properties calculated at the PBE level.

POSCAR file:
```
Ag3Pd2Au2
1.0
-3.407 -0.563 -2.229
2.472 -4.216 1.074
-3.570 0.319 5.378
Au Pd Ag
2 2 3
direct
0.927 0.854 0.281 Au
0.073 0.146 0.719 Au
0.214 0.429 0.140 Pd
0.786 0.571 0.860 Pd
0.500 0.000 0.000 Ag
0.644 0.288 0.428 Ag
0.356 0.712 0.572 Ag
```

Properties
Calculated volume = 119.8 Å³/cell
Calculated formation energy = -0.073 eV per atom